Record 1
The following is a DFT calculation (PBE) of crystalline Ce2GaNi at its relaxed geometry.

Properties
As for the formation energy: 0.063 eV/atom. The size of the total moment is 0.0 μB/cell. As for the symmetry: R-3m (166). As for the crystal system: trigonal.

```
data_Ce2GaNi
_space_group_name_H-M_alt 'P 1'
_space_group_IT_number 1
_cell_length_a 3.017
_cell_length_b 3.017
_cell_length_c 10.420
_cell_angle_alpha 81.68
_cell_angle_beta 81.68
_cell_angle_gamma 60.00
loop_
_space_group_symop_operation_xyz
'x,y,z'
loop_
_atom_site_label
_atom_site_type_symbol
_atom_site_fract_x
_atom_site_fract_y
_atom_site_fract_z
_atom_site_occupancy
Ni1 Ni 0.000 0.000 0.000 1
Ga1 Ga 0.500 0.500 0.500 1
Ce1 Ce 0.080 0.080 0.759 1
Ce2 Ce 0.920 0.920 0.241 1
```



Record 2
The following is a DFT calculation (PBE) of crystalline CsTiCu2I8 at its relaxed geometry.

Properties
For the formation energy (no corrections), the calculation gives -6.87 eV per formula unit. The size of the total moment is 0.0 μB/cell. As for the symmetry: C2/m (12). As for the crystal system: monoclinic.

```
data_CsTiCu2I8
_space_group_name_H-M_alt 'P 1'
_space_group_IT_number 1
_cell_length_a 7.058
_cell_length_b 7.058
_cell_length_c 10.937
_cell_angle_alpha 79.62
_cell_angle_beta 79.62
_cell_angle_gamma 67.41
loop_
_space_group_symop_operation_xyz
'x,y,z'
loop_
_atom_site_label
_atom_site_type_symbol
_atom_site_fract_x
_atom_site_fract_y
_atom_site_fract_z
_atom_site_occupancy
Cs1 Cs 0.000 0.000 0.500 1
Ti1 Ti 0.000 0.000 0.000 1
Cu1 Cu 0.611 0.611 0.201 1
Cu2 Cu 0.389 0.389 0.799 1
I1 I 0.792 0.284 0.813 1
I2 I 0.766 0.766 0.996 1
I3 I 0.662 0.662 0.413 1
I4 I 0.338 0.338 0.587 1
I5 I 0.234 0.234 0.004 1
I6 I 0.284 0.792 0.813 1
I7 I 0.716 0.208 0.187 1
I8 I 0.208 0.716 0.187 1
```



Record 3
The following is a DFT calculation (PBE) of crystalline MnNb3Cl at its relaxed geometry.

Properties
For the formation energy (no corrections), the calculation gives 4.77 eV per formula unit. The size of the total moment is 0.0 μB/cell. As for the symmetry: Pm-3m (221). For the energy above the most stable polymorph in this dataset, the calculation gives 0.0 kJ per mole of atoms. As for the crystal system: cubic.

```
data_MnNb3Cl
_space_group_name_H-M_alt 'P 1'
_space_group_IT_number 1
_cell_length_a 4.673
_cell_length_b 4.673
_cell_length_c 4.673
_cell_angle_alpha 90.00
_cell_angle_beta 90.00
_cell_angle_gamma 90.00
loop_
_space_group_symop_operation_xyz
'x,y,z'
loop_
_atom_site_label
_atom_site_type_symbol
_atom_site_fract_x
_atom_site_fract_y
_atom_site_fract_z
_atom_site_occupancy
Nb1 Nb 0.000 0.500 0.000 1
Nb2 Nb 0.000 0.000 0.500 1
Nb3 Nb 0.500 0.000 0.000 1
Mn1 Mn 0.000 0.000 0.000 1
Cl1 Cl 0.500 0.500 0.500 1
```



Record 4
The following is a DFT calculation (PBE) of crystalline MgZrCu3 at its relaxed geometry.

Properties
As for the formation energy: 0.697 eV/atom. The size of the total moment is 0.0 μB/cell. As for the symmetry: Pm-3m (221). For the energy above the most stable polymorph in this dataset, the calculation gives 77.9 kJ per mole of atoms. As for the crystal system: cubic.

```
data_MgZrCu3
_space_group_name_H-M_alt 'P 1'
_space_group_IT_number 1
_cell_length_a 4.445
_cell_length_b 4.445
_cell_length_c 4.445
_cell_angle_alpha 90.00
_cell_angle_beta 90.00
_cell_angle_gamma 90.00
loop_
_space_group_symop_operation_xyz
'x,y,z'
loop_
_atom_site_label
_atom_site_type_symbol
_atom_site_fract_x
_atom_site_fract_y
_atom_site_fract_z
_atom_site_occupancy
Mg1 Mg 0.000 0.000 0.000 1
Cu1 Cu 0.000 0.500 0.000 1
Cu2 Cu 0.000 0.000 0.500 1
Cu3 Cu 0.500 0.000 0.000 1
Zr1 Zr 0.500 0.500 0.500 1
```



Record 5
The following is a DFT calculation (PBE) of crystalline AcCd2Au10 at its relaxed geometry.

Properties
As for the formation energy: -0.262 eV/atom. The size of the total moment is 0.0 μB/cell. As for the symmetry: Fmmm (69). As for the crystal system: orthorhombic.

```
data_AcCd2Au10
_space_group_name_H-M_alt 'P 1'
_space_group_IT_number 1
_cell_length_a 5.711
_cell_length_b 7.711
_cell_length_c 7.145
_cell_angle_alpha 81.49
_cell_angle_beta 66.44
_cell_angle_gamma 68.27
loop_
_space_group_symop_operation_xyz
'x,y,z'
loop_
_atom_site_label
_atom_site_type_symbol
_atom_site_fract_x
_atom_site_fract_y
_atom_site_fract_z
_atom_site_occupancy
Ac1 Ac 0.000 0.000 0.000 1
Cd1 Cd 0.000 0.500 0.000 1
Cd2 Cd 0.500 0.500 0.000 1
Au1 Au 0.347 0.658 0.648 1
Au2 Au 0.653 0.342 0.352 1
Au3 Au 0.005 0.342 0.648 1
Au4 Au 0.995 0.658 0.352 1
Au5 Au 0.000 0.000 0.500 1
Au6 Au 0.500 0.000 0.500 1
Au7 Au 0.285 0.215 0.215 1
Au8 Au 0.715 0.785 0.785 1
Au9 Au 0.500 0.785 0.215 1
Au10 Au 0.500 0.215 0.785 1
```